No. 1
Material: SrCaTh2Bi4
Method: DFT, PBE
State: relaxed

Cell: 8.0924 4.6763 8.1223 Å, 90.00 109.41 90.00°
With the nearest neighbours (Å) after each atom.
Space group P2/m (No. 10)
Symmetry-distinct sites (fractional):
Sr 0.0000 0.0000 0.0000 (multiplicity 1)  6 Bi 3.38
Ca 0.5000 0.5000 0.0000 (multiplicity 1)  6 Bi 3.34-3.35
Th 0.0000 0.5000 0.5000 (multiplicity 1)  6 Bi 3.27-3.28
Th 0.5000 0.0000 0.5000 (multiplicity 1)  6 Bi 3.24
Bi 0.2499 0.0000 0.7399 (multiplicity 2)  3 Th 3.24-3.28, 2 Ca 3.34, 1 Sr 3.38
Bi 0.2577 0.5000 0.2633 (multiplicity 2)  3 Th 3.24-3.27, 1 Ca 3.35, 2 Sr 3.38

- Magnetic moment: 0.00 μB per formula unit
- Energy: -40.1 eV per cell
- Energy of formation: -0.7586 eV per atom
- Calculated density: 8178 kg/m3


No. 2
Material: SiAgAs2
Method: DFT, PBE
State: relaxed

Cell: 5.2596 5.2596 2.6793 Å, 90.00 90.00 90.00°
With the nearest neighbours (Å) after each atom.
Space group P4mm (No. 99)
Symmetry-distinct sites (fractional):
Si 0.0000 0.0000 0.0000 (multiplicity 1)  4 As 2.63, 2 Si 2.68
Ag 0.5000 0.5000 0.4947 (multiplicity 1)  2 Ag 2.68, 8 As 2.95-2.96
As 0.0000 0.5000 0.9996 (multiplicity 2)  2 Si 2.63, 2 As 2.68

- Magnetic moment: 0.00 μB per formula unit
- Energy: -16.8 eV per cell
- Calculated density: 6403 kg/m3


No. 3
Material: Rb3Tl5Cl12
Method: DFT, PBE
State: relaxed

Cell: 18.2599 18.2599 18.2599 Å, 90.00 90.00 90.00°
With the nearest neighbours (Å) after each atom.
Space group Ia-3d (No. 230)
Symmetry-distinct sites (fractional):
Rb 0.0000 0.2500 0.1250 (multiplicity 24)  8 Cl 3.49-3.55
Tl 0.0000 0.0000 0.0000 (multiplicity 16)  6 Cl 3.15
Tl 0.0000 0.2500 0.3750 (multiplicity 24)  4 Cl 2.64
Cl 0.0315 0.0608 0.6581 (multiplicity 96)  1 Tl 2.64

- Magnetic moment: 0.01 μB per formula unit
- Energy: -475.5 eV per cell
- Calculated density: 3718 kg/m3


No. 4
Material: KBaSb2
Method: DFT, PBE
State: relaxed

Cell: 4.7201 4.7201 7.2170 Å, 90.00 90.00 90.00°
With the nearest neighbours (Å) after each atom.
Space group P4mm (No. 99)
Symmetry-distinct sites (fractional):
K 0.0000 0.0000 0.0000 (multiplicity 1)  5 Sb 3.37-3.60
Ba 0.5000 0.5000 0.6407 (multiplicity 1)  5 Sb 3.28-3.57
Sb 0.0000 0.0000 0.4666 (multiplicity 1)  1 K 3.37, 4 Ba 3.57
Sb 0.5000 0.5000 0.1865 (multiplicity 1)  1 Ba 3.28, 4 K 3.60

- Magnetic moment: 0.52 μB per formula unit
- Energy: -12.0 eV per cell
- Calculated density: 4337 kg/m3
- Offset from the most stable computed form: 0.455 eV/atom


No. 5
Material: CeEuInPd
Method: DFT, PBE
State: relaxed

Cell: 7.5178 7.5178 7.5178 Å, 90.00 90.00 90.00°
With the nearest neighbours (Å) after each atom.
Space group F-43m (No. 216)
Symmetry-distinct sites (fractional):
Ce 0.0000 0.0000 0.0000 (multiplicity 4)  4 In 3.26, 4 Pd 3.26
Eu 0.0000 0.0000 0.5000 (multiplicity 4)  4 In 3.26, 4 Pd 3.26
In 0.2500 0.2500 0.2500 (multiplicity 4)  4 Ce 3.26, 4 Eu 3.26
Pd 0.2500 0.2500 0.7500 (multiplicity 4)  4 Ce 3.26, 4 Eu 3.26

- Magnetic moment: 7.73 μB per formula unit
- Energy: -103.2 eV per cell
- Energy of formation: -0.4141 eV per atom
- Calculated density: 8025 kg/m3


No. 6
Material: Ho4Te5
Method: DFT, PBE
State: relaxed

Cell: 11.7751 11.7751 3.8798 Å, 90.00 90.00 90.00°
With the nearest neighbours (Å) after each atom.
Space group I4/mmm (No. 139)
Symmetry-distinct sites (fractional):
Ho 0.1564 0.1564 0.0000 (multiplicity 8)  6 Te 3.19-3.25
Te 0.0000 0.0000 0.5000 (multiplicity 2)  8 Ho 3.25, 4 Te 3.58
Te 0.0000 0.3043 0.5000 (multiplicity 8)  4 Ho 3.19

- Magnetic moment: 0.00 μB per formula unit
- Energy: -84.2 eV per cell
- Calculated density: 8012 kg/m3


No. 7
Material: LaDyCuPt
Method: DFT, PBE
State: relaxed

Cell: 4.5355 3.8754 10.8000 Å, 90.00 90.00 90.00°
With the nearest neighbours (Å) after each atom.
Space group Amm2 (No. 38)
Symmetry-distinct sites (fractional):
La 0.0000 0.0000 0.0000 (multiplicity 2)  3 Pt 3.02-3.07, 4 Cu 3.07
Dy 0.5000 0.0000 0.2752 (multiplicity 2)  3 Cu 2.98-3.14, 4 Pt 3.04
Cu 0.5000 0.0000 0.5656 (multiplicity 2)  2 Pt 2.82, 3 Dy 2.98-3.14, 4 La 3.07
Pt 0.0000 0.0000 0.7207 (multiplicity 2)  2 Cu 2.82, 3 La 3.02-3.07, 4 Dy 3.04

- Magnetic moment: 0.00 μB per formula unit
- Energy: -45.2 eV per cell
- Energy of formation: -0.7295 eV per atom
- Calculated density: 9798 kg/m3
- Offset from the most stable computed form: 0.000 eV/atom


No. 8
Material: Sc3V
Method: DFT, PBE
State: relaxed

Cell: 6.3407 6.3407 4.9113 Å, 90.00 90.00 120.00°
With the nearest neighbours (Å) after each atom.
Space group P6_3/mmc (No. 194)
Symmetry-distinct sites (fractional):
Sc 0.1712 0.3423 0.2500 (multiplicity 6)  4 V 3.03-3.17, 8 Sc 3.08-3.26
V 0.3333 0.6667 0.7500 (multiplicity 2)  12 Sc 3.03-3.17

- Magnetic moment: 1.49 μB per formula unit
- Energy: -54.8 eV per cell
- Energy of formation: 0.1770 eV per atom
- Calculated density: 3609 kg/m3
- Offset from the most stable computed form: 0.000 eV/atom